TaSi2Se after structural relaxation. Source: Alexandria, functional GGA-PBE.

## Properties
The raw formation energy is 0.07 eV/atom. Its space group is P4/mmm.

a = 3.542 Å, b = 3.546 Å, c = 5.201 Å
α = 90.00°, β = 90.00°, γ = 90.00°
Element x y z (fractional)
Se (0.500, 0.500, 0.750)
Si (0.000, 0.000, 0.007)
Si (0.000, 0.000, 0.493)
Ta (0.500, 0.500, 0.250)